(1)
Compound: CoRe2W
Source: the Alexandria database
Functional: PBE-GGA
Structure: relaxed

Computed properties:
final energy	-44.30	eV per cell
formation enthalpy at 0 K	0.16	eV/atom
crystal system	orthorhombic

abc: 2.668 2.668 8.242
angles: 90.00 90.00 103.41
Fractional coordinates of all 4 atoms:
Co: 0.000 0.000 0.000
Re: 0.500 0.500 0.229
Re: 0.500 0.500 0.771
W: 0.000 0.000 0.500

(2)
Compound: Hf2ZrCoW
Source: the Alexandria database
Functional: PBE-GGA
Structure: relaxed

Computed properties:
final energy	-43.77	eV per cell
formation enthalpy at 0 K	0.95	eV/atom
crystal system	tetragonal

abc: 5.024 5.024 4.469
angles: 90.00 90.00 90.00
Fractional coordinates of all 5 atoms:
Hf: 0.000 0.500 0.000
Hf: 0.500 0.000 0.000
Zr: 0.000 0.000 0.500
Co: 0.500 0.500 0.500
W: 0.500 0.500 0.000

(3)
Compound: FeRu2Se
Source: the Alexandria database
Functional: PBE-GGA
Structure: relaxed

Computed properties:
final energy	-28.82	eV per cell
crystal system	orthorhombic
raw formation energy	0.420	eV per atom

abc: 2.932 4.299 4.559
angles: 90.00 90.00 90.00
Fractional coordinates of all 4 atoms:
Fe: 0.000 0.000 0.000
Ru: 0.000 0.500 0.500
Ru: 0.500 0.500 0.000
Se: 0.500 0.000 0.500

(4)
Compound: MoRuAu2
Source: the Alexandria database
Functional: PBE-GGA
Structure: relaxed

Computed properties:
final energy	-25.87	eV per cell
formation enthalpy at 0 K	0.20	eV/atom
crystal system	orthorhombic

abc: 2.882 3.873 5.864
angles: 90.00 90.00 90.00
Fractional coordinates of all 4 atoms:
Mo: 0.000 0.000 0.000
Ru: 0.500 0.500 0.201
Au: 0.000 0.000 0.471
Au: 0.500 0.500 0.731

(5)
Compound: SrAc6CoPd
Source: the Alexandria database
Functional: PBE-GGA
Structure: relaxed

Computed properties:
final energy	-38.26	eV per cell
formation enthalpy at 0 K	0.04	eV/atom
crystal system	trigonal

abc: 7.379 7.379 9.589
angles: 90.00 90.00 120.00
Fractional coordinates of all 9 atoms:
Sr: 0.000 0.000 0.000
Ac: 0.346 0.015 0.669
Ac: 0.346 0.331 0.331
Ac: 0.669 0.015 0.331
Ac: 0.669 0.654 0.669
Ac: 0.985 0.331 0.669
Ac: 0.985 0.654 0.331
Co: 0.667 0.333 0.500
Pd: 0.333 0.667 0.500

(6)
Compound: MnHgI3
Source: the Alexandria database
Functional: PBE-GGA
Structure: relaxed

Computed properties:
final energy	-31.52	eV per cell
crystal system	monoclinic
raw formation energy	-0.327	eV per atom

abc: 10.667 10.667 9.357
angles: 104.25 104.25 22.88
Fractional coordinates of all 10 atoms:
Mn: 0.170 0.170 0.039
Mn: 0.830 0.830 0.961
Hg: 0.466 0.466 0.604
Hg: 0.534 0.534 0.396
I: 0.117 0.117 0.316
I: 0.240 0.240 0.809
I: 0.416 0.416 0.089
I: 0.584 0.584 0.911
I: 0.760 0.760 0.191
I: 0.883 0.883 0.684

(7)
Compound: Rb2FeTcPt
Source: the Alexandria database
Functional: PBE-GGA
Structure: relaxed

Computed properties:
final energy	-18.96	eV per cell
formation enthalpy at 0 K	1.57	eV/atom
crystal system	tetragonal

abc: 6.386 6.386 4.692
angles: 90.00 90.00 90.00
Fractional coordinates of all 5 atoms:
Rb: 0.000 0.500 0.000
Rb: 0.500 0.000 0.000
Fe: 0.000 0.000 0.000
Tc: 0.500 0.500 0.500
Pt: 0.000 0.000 0.500

(8)
Compound: Zr2ScTaN
Source: the Alexandria database
Functional: PBE-GGA
Structure: relaxed

Computed properties:
final energy	-46.64	eV per cell
crystal system	tetragonal
raw formation energy	-0.608	eV per atom

abc: 4.563 4.563 4.327
angles: 90.00 90.00 90.00
Fractional coordinates of all 5 atoms:
Zr: 0.000 0.500 0.000
Zr: 0.500 0.000 0.000
Sc: 0.000 0.000 0.500
Ta: 0.500 0.500 0.500
N: 0.000 0.000 0.000